DFT (GGA-PBEsol) results for a relaxed Na2CuP2 crystal.

Unit cell a=4.658 b=6.067 c=6.067 alpha=90.00 beta=90.00 gamma=90.00
Sites, in units of the cell vectors:
P  0.000  0.631  0.131
Na  0.500  0.675  0.825
Cu  0.000  0.000  0.000
Na  0.500  0.175  0.675
Na  0.500  0.325  0.175
P  0.000  0.131  0.369
Na  0.500  0.825  0.325
P  0.000  0.369  0.869
Cu  0.000  0.500  0.500
P  0.000  0.869  0.631

Total magnetic moment ... 0.00 μB per formula unit
E_tot ... -20.0 eV per formula unit
Fermi-level density of states ... 0.28 states/eV per atom
Energy relative to the elements ... -0.26 eV per atom